i:
VASP calculation (PBE) on NdDy9Th2 after structural relaxation. Values from VASP.

Summary:
* symmetry: P4/mmm

Geometry as Quantum ESPRESSO input:
```
&SYSTEM
  ibrav = 0, nat = 12, ntyp = 3
/
ATOMIC_SPECIES
Nd 144.24 Nd.upf
Dy 162.50 Dy.upf
Th 232.04 Th.upf
CELL_PARAMETERS angstrom
5.0309 0.0000 0.0000
0.0000 5.0309 0.0000
0.0000 0.0000 15.0881
ATOMIC_POSITIONS crystal
Nd 0.0000 0.0000 0.0000
Dy 0.0000 0.5000 0.1704
Dy 0.0000 0.5000 0.5000
Dy 0.0000 0.5000 0.8296
Dy 0.5000 0.0000 0.1704
Dy 0.5000 0.0000 0.5000
Dy 0.5000 0.0000 0.8296
Dy 0.5000 0.5000 0.0000
Dy 0.5000 0.5000 0.3339
Dy 0.5000 0.5000 0.6661
Th 0.0000 0.0000 0.3345
Th 0.0000 0.0000 0.6655
```

ii:
VASP calculation (PBE) on NdDy9Th2 after structural relaxation. Values from VASP.

Summary:
* symmetry: P6/mmm

Geometry as Quantum ESPRESSO input:
```
&SYSTEM
  ibrav = 0, nat = 12, ntyp = 3
/
ATOMIC_SPECIES
Nd 144.24 Nd.upf
Dy 162.50 Dy.upf
Th 232.04 Th.upf
CELL_PARAMETERS angstrom
11.3546 0.0000 0.0000
-5.6773 9.8334 0.0000
0.0000 0.0000 3.5029
ATOMIC_POSITIONS crystal
Nd 0.0000 0.0000 0.0000
Dy 0.0000 0.5000 0.0000
Dy 0.1751 0.3503 0.5000
Dy 0.1751 0.8249 0.5000
Dy 0.3503 0.1751 0.5000
Dy 0.5000 0.0000 0.0000
Dy 0.5000 0.5000 0.0000
Dy 0.6497 0.8249 0.5000
Dy 0.8249 0.1751 0.5000
Dy 0.8249 0.6497 0.5000
Th 0.3333 0.6667 0.0000
Th 0.6667 0.3333 0.0000
```

Energy above the most stable structure, in kJ/mol of atoms: i 0.0; ii 6.8

i:
VASP calculation (PBE) on Nd4Dy2Th after structural relaxation. Values from VASP.

Summary:
* symmetry: Cm

Geometry as Quantum ESPRESSO input:
```
&SYSTEM
  ibrav = 0, nat = 7, ntyp = 3
/
ATOMIC_SPECIES
Nd 144.24 Nd.upf
Dy 162.50 Dy.upf
Th 232.04 Th.upf
CELL_PARAMETERS angstrom
3.1487 -1.8190 0.0000
3.1487 1.8190 0.0000
-2.1191 0.0000 20.6770
ATOMIC_POSITIONS crystal
Nd 0.0000 0.0000 0.0000
Nd 0.0917 0.0917 0.2809
Nd 0.5205 0.5205 0.5642
Nd 0.6139 0.6139 0.8501
Dy 0.7083 0.7083 0.1394
Dy 0.8038 0.8038 0.4220
Th 0.9030 0.9030 0.7080
```

ii:
VASP calculation (PBE) on Nd4Dy2Th after structural relaxation. Values from VASP.

Summary:
* symmetry: Imma

Geometry as Quantum ESPRESSO input:
```
&SYSTEM
  ibrav = 0, nat = 14, ntyp = 3
/
ATOMIC_SPECIES
Nd 144.24 Nd.upf
Dy 162.50 Dy.upf
Th 232.04 Th.upf
CELL_PARAMETERS angstrom
-3.4017 5.8265 6.1086
3.4017 -5.8265 6.1086
3.4017 5.8265 -6.1086
ATOMIC_POSITIONS crystal
Nd 0.1566 0.1534 0.0033
Nd 0.2382 0.2125 0.4743
Nd 0.2382 0.7639 0.0257
Nd 0.3499 0.8466 0.5033
Nd 0.6501 0.1534 0.4967
Nd 0.7618 0.2361 0.9743
Nd 0.7618 0.7875 0.5257
Nd 0.8434 0.8466 0.9967
Dy 0.0000 0.5000 0.5000
Dy 0.0287 0.2787 0.7500
Dy 0.5000 0.5000 0.0000
Dy 0.9713 0.7213 0.2500
Th 0.5000 0.0000 0.0000
Th 0.5000 0.5000 0.5000
```

Energy above the most stable structure, in kJ/mol of atoms: i 0.0; ii 24.5

i:
VASP calculation (PBE) on NdDy7Th3 after structural relaxation. Values from VASP.

Summary:
* symmetry: P-1

Geometry as Quantum ESPRESSO input:
```
&SYSTEM
  ibrav = 0, nat = 11, ntyp = 3
/
ATOMIC_SPECIES
Nd 144.24 Nd.upf
Dy 162.50 Dy.upf
Th 232.04 Th.upf
CELL_PARAMETERS angstrom
6.4508 0.0000 0.0000
-0.7752 6.6552 0.0000
-1.0880 -1.8208 8.4035
ATOMIC_POSITIONS crystal
Nd 0.0000 0.0000 0.0000
Dy 0.0000 0.5000 0.0000
Dy 0.0708 0.2153 0.6428
Dy 0.2089 0.7305 0.7048
Dy 0.4922 0.2328 0.9239
Dy 0.5078 0.7672 0.0761
Dy 0.7911 0.2695 0.2952
Dy 0.9292 0.7847 0.3572
Th 0.3232 0.4491 0.3370
Th 0.5000 0.0000 0.5000
Th 0.6768 0.5509 0.6630
```

ii:
VASP calculation (PBE) on NdDy7Th3 after structural relaxation. Values from VASP.

Summary:
* symmetry: P3m1

Geometry as Quantum ESPRESSO input:
```
&SYSTEM
  ibrav = 0, nat = 11, ntyp = 3
/
ATOMIC_SPECIES
Nd 144.24 Nd.upf
Dy 162.50 Dy.upf
Th 232.04 Th.upf
CELL_PARAMETERS angstrom
7.0793 0.0000 0.0000
-3.5396 6.1308 0.0000
0.0000 0.0000 8.5833
ATOMIC_POSITIONS crystal
Nd 0.0000 0.0000 0.0000
Dy 0.0031 0.5015 0.9961
Dy 0.3316 0.1658 0.6568
Dy 0.3333 0.6667 0.6557
Dy 0.4985 0.5015 0.9961
Dy 0.4985 0.9969 0.9961
Dy 0.8342 0.1658 0.6568
Dy 0.8342 0.6684 0.6568
Th 0.1677 0.3354 0.3284
Th 0.1677 0.8323 0.3284
Th 0.6646 0.8323 0.3284
```

Energy above the most stable structure, in kJ/mol of atoms: i 0.0; ii 6.3

i:
VASP calculation (PBE) on NdDy4Th after structural relaxation. Values from VASP.

Summary:
* symmetry: P-1

Geometry as Quantum ESPRESSO input:
```
&SYSTEM
  ibrav = 0, nat = 6, ntyp = 3
/
ATOMIC_SPECIES
Nd 144.24 Nd.upf
Dy 162.50 Dy.upf
Th 232.04 Th.upf
CELL_PARAMETERS angstrom
3.5791 0.0000 0.0000
0.0122 7.1950 0.0000
1.7782 1.8011 7.5075
ATOMIC_POSITIONS crystal
Nd 0.0000 0.0000 0.0000
Dy 0.3343 0.1729 0.3330
Dy 0.3362 0.6617 0.3284
Dy 0.6638 0.3383 0.6716
Dy 0.6657 0.8271 0.6670
Th 0.0000 0.5000 0.0000
```

ii:
VASP calculation (PBE) on NdDy4Th after structural relaxation. Values from VASP.

Summary:
* symmetry: C2/c

Geometry as Quantum ESPRESSO input:
```
&SYSTEM
  ibrav = 0, nat = 12, ntyp = 3
/
ATOMIC_SPECIES
Nd 144.24 Nd.upf
Dy 162.50 Dy.upf
Th 232.04 Th.upf
CELL_PARAMETERS angstrom
4.4270 -7.2879 0.0000
4.4270 7.2879 0.0000
-2.2524 0.0000 6.2380
ATOMIC_POSITIONS crystal
Nd 0.0875 0.9125 0.7500
Nd 0.9125 0.0875 0.2500
Dy 0.0750 0.3325 0.8750
Dy 0.2160 0.6006 0.4666
Dy 0.3325 0.0750 0.3750
Dy 0.3994 0.7840 0.0334
Dy 0.6006 0.2160 0.9666
Dy 0.6675 0.9250 0.6250
Dy 0.7840 0.3994 0.5334
Dy 0.9250 0.6675 0.1250
Th 0.4989 0.5011 0.2500
Th 0.5011 0.4989 0.7500
```

iii:
VASP calculation (PBE) on NdDy4Th after structural relaxation. Values from VASP.

Summary:
* symmetry: F-43m

Geometry as Quantum ESPRESSO input:
```
&SYSTEM
  ibrav = 0, nat = 6, ntyp = 3
/
ATOMIC_SPECIES
Nd 144.24 Nd.upf
Dy 162.50 Dy.upf
Th 232.04 Th.upf
CELL_PARAMETERS angstrom
0.0000 4.6489 4.6489
4.6489 0.0000 4.6489
4.6489 4.6489 0.0000
ATOMIC_POSITIONS crystal
Nd 0.0000 0.0000 0.0000
Dy 0.1279 0.6240 0.6240
Dy 0.6240 0.1279 0.6240
Dy 0.6240 0.6240 0.1279
Dy 0.6240 0.6240 0.6240
Th 0.2500 0.2500 0.2500
```

Energy above the most stable structure, in kJ/mol of atoms: i 0.0; ii 12.5; iii 29.2